# PmTc2H8 (PBE-GGA, relaxed)
data_PmTc2H8
_space_group_name_H-M_alt 'C 1 m 1'
_space_group_IT_number 8
_cell_length_a 4.8119
_cell_length_b 8.0806
_cell_length_c 4.5501
_cell_angle_alpha 90.00
_cell_angle_beta 92.45
_cell_angle_gamma 90.00
loop_
_space_group_symop_operation_xyz
'x,y,z'
'x,-y,z'
'x+1/2,y+1/2,z'
'x+1/2,-y+1/2,z'
loop_
_atom_site_label
_atom_site_type_symbol
_atom_site_fract_x
_atom_site_fract_y
_atom_site_fract_z
Pm1 Pm 0.0000 0.0000 0.0000
Tc1 Tc 0.4302 0.1581 0.5269
H1 H 0.0624 0.5000 0.2782
H2 H 0.0662 0.1270 0.4844
H3 H 0.2398 0.2783 0.7778
H4 H 0.3396 0.2351 0.1882
H5 H 0.4868 0.0000 0.8247
# M_tot   0.000 μB per atom
# Density   6.56 Mg/m³
# Crystal system   monoclinic
# Total energy   -107.11 eV per cell

---

# Pm2TcH (PBE-GGA, relaxed)
data_Pm2TcH
_space_group_name_H-M_alt 'R -3 m'
_space_group_IT_number 166
_space_group_name_Hall '-R 3 2"'
_cell_length_a 3.5473
_cell_length_b 3.5473
_cell_length_c 22.0515
_cell_angle_alpha 90.00
_cell_angle_beta 90.00
_cell_angle_gamma 120.00
loop_
_atom_site_label
_atom_site_type_symbol
_atom_site_fract_x
_atom_site_fract_y
_atom_site_fract_z
Pm1 Pm 0.0000 0.0000 0.2403
Tc1 Tc 0.0000 0.0000 0.0000
H1 H 0.0000 0.0000 0.5000
# M_tot   0.000 μB per atom
# Density   8.06 Mg/m³
# Crystal system   trigonal
# Total energy   -68.98 eV per cell

---

Which of these has the lowest total energy?
PmTc2H8

---

The highest density belongs to which entry?
Pm2TcH

---

Look up the total energy of the second one.
-68.98 eV per cell